Entry 1:
First-principles (GGA-PBE) data for crystalline Ba3Cd6Hg5 at its relaxed geometry, as listed in the Alexandria database.

It has space group Pmmn (No. 59, origin choice 2), with a = 4.8519 Å, b = 14.2848 Å, c = 12.0738 Å, α = 90.00°, β = 90.00° and γ = 90.00°. The distinct sites, in fractional coordinates, are Ba at (0.2500, 0.0830, 0.2490), Ba at (0.2500, 0.7500, 0.2572), Cd at (0.2500, 0.0638, 0.5967), Cd at (0.2500, 0.2500, 0.4948), Cd at (0.2500, 0.2500, 0.9992), Cd at (0.2500, 0.5843, 0.0020), Hg at (0.2500, 0.0838, 0.8474), Hg at (0.2500, 0.6342, 0.5380) and Hg at (0.2500, 0.7500, 0.8439).


Entry 2:
First-principles (GGA-PBE) data for crystalline BaCd6Hg3 at its relaxed geometry, as listed in the Alexandria database.

It has space group P2_1/m (No. 11), with a = 9.0915 Å, b = 5.1818 Å, c = 11.5366 Å, α = 90.00°, β = 104.33° and γ = 90.00°. The distinct sites, in fractional coordinates, are Ba at (0.2008, 0.2500, 0.0155), Cd at (0.0539, 0.7500, 0.7778), Cd at (0.1172, 0.7500, 0.5241), Cd at (0.2177, 0.2500, 0.4279), Cd at (0.3818, 0.7500, 0.8962), Cd at (0.4150, 0.7500, 0.4304), Cd at (0.4706, 0.7500, 0.1641), Hg at (0.1387, 0.7500, 0.2098), Hg at (0.2016, 0.2500, 0.6962) and Hg at (0.4725, 0.2500, 0.3029).


Entry 3:
First-principles (GGA-PBE) data for crystalline BaCd8Hg6 at its relaxed geometry, as listed in the Alexandria database.

It has space group R-3 (No. 148, hexagonal axes), with a = 8.9972 Å, b = 8.9972 Å, c = 16.7386 Å, α = 90.00°, β = 90.00° and γ = 120.00°. The distinct sites, in fractional coordinates, are Ba at (0.0000, 0.0000, 0.0000), Cd at (0.0000, 0.0000, 0.2139), Cd at (0.0015, 0.3293, 0.1453) and Hg at (0.0321, 0.2222, 0.6413).


Entry 4:
First-principles (GGA-PBE) data for crystalline BaCd2Hg6 at its relaxed geometry, as listed in the Alexandria database.

Its energy above the lowest structure with this stoichiometry is 5 kJ/mol of formula units.

It has space group P6/mmm (No. 191), with a = 6.1818 Å, b = 6.1818 Å, c = 9.1072 Å, α = 90.00°, β = 90.00° and γ = 120.00°. The distinct sites, in fractional coordinates, are Ba at (0.0000, 0.0000, 0.0000), Cd at (0.3333, 0.6667, 0.5000) and Hg at (0.0000, 0.5000, 0.2063).


Entry 5:
First-principles (GGA-PBE) data for crystalline BaCd2Hg10 at its relaxed geometry, as listed in the Alexandria database.

It has space group Fmmm (No. 69), with a = 6.2191 Å, b = 14.9350 Å, c = 15.2038 Å, α = 90.00°, β = 90.00° and γ = 90.00°. The distinct sites, in fractional coordinates, are Ba at (0.0000, 0.0000, 0.0000), Cd at (0.2500, 0.0000, 0.2500), Hg at (0.0000, 0.1067, 0.3915), Hg at (0.0000, 0.1753, 0.1789) and Hg at (0.2500, 0.2500, 0.0000).


Entry 6:
First-principles (GGA-PBE) data for crystalline Ba2Cd12Hg7 at its relaxed geometry, as listed in the Alexandria database.

It has space group P-3 (No. 147), with a = 11.7106 Å, b = 11.7106 Å, c = 4.6922 Å, α = 90.00°, β = 90.00° and γ = 120.00°. The distinct sites, in fractional coordinates, are Ba at (0.3333, 0.6667, 0.2360), Cd at (0.0431, 0.4306, 0.7620), Cd at (0.1130, 0.2577, 0.2088), Hg at (0.0000, 0.0000, 0.5000) and Hg at (0.1312, 0.7156, 0.7211).


Number 1: total DFT energy (no corrections) -34.79 eV per cell, density 8.29 g/cm3, formation energy from the elements -4.6 eV per formula unit. Number 2: total DFT energy (no corrections) -19.59 eV per cell, density 8.91 g/cm3, formation energy from the elements -1.5 eV per formula unit. Number 3: total DFT energy (no corrections) -37.87 eV per cell, density 9.51 g/cm3, formation energy from the elements -1.6 eV per formula unit. Number 4: total DFT energy (no corrections) -6.48 eV per cell, density 8.63 g/cm3, formation energy from the elements -0.9 eV per formula unit. Number 5: total DFT energy (no corrections) -33.58 eV per cell, density 11.14 g/cm3, formation energy from the elements -1.6 eV per formula unit. Number 6: total DFT energy (no corrections) -20.42 eV per cell, density 9.02 g/cm3, formation energy from the elements -3.5 eV per formula unit.